DyNbPb2O6 (PBE, optimized geometry); formation energy (no corrections) = -2.258 eV per atom; theoretical density = 8.6 g cm⁻³; space group = P2_1/c
1.0
-4.026 -1.071 4.186
-0.526 -5.613 -1.942
6.099 -2.386 5.244
O Pb Dy Nb
12 4 2 2
Cartesian
2.282 -7.713 3.701
0.377 -3.595 5.194
-0.630 -1.549 0.589
-0.736 -1.357 3.788
-2.537 -4.453 4.072
-0.239 -6.637 4.527
4.083 -4.616 3.417
1.169 -5.474 2.294
2.765 -4.768 7.466
2.176 -7.520 6.899
-1.218 -4.301 0.023
1.785 -2.432 2.961
2.251 -5.289 5.023
-0.705 -3.780 2.465
0.566 -3.009 8.045
0.980 -6.060 -0.556
2.786 -3.999 1.651
-2.013 -0.535 2.093
1.036 -1.728 4.715
-0.263 -2.807 -0.971